*w*
{"formula": "YZr2Pt", "functional": "PBE-GGA", "state": "optimized geometry", "dos_ef_per_ev_cell": 5.4, "space_group": "P4/mmm (123)", "lattice": [[3.4310, 0.0000, 0.0000], [0.0000, 3.4310, 0.0000], [0.0000, 0.0000, 7.6763]], "species": ["Y", "Zr", "Zr", "Pt"], "fractional_positions": [[0.0000, 0.0000, 0.0000], [0.5000, 0.5000, 0.2931], [0.5000, 0.5000, 0.7069], [0.0000, 0.0000, 0.5000]]}



*x*
{"formula": "YZr2Pt", "functional": "PBE-GGA", "state": "optimized geometry", "dos_ef_per_ev_cell": 4.5, "space_group": "R3m (160)", "lattice": [[1.7043, 0.9840, 9.3873], [-1.7043, 0.9840, 9.3873], [0.0000, -1.9680, 9.3873]], "species": ["Y", "Zr", "Zr", "Pt"], "fractional_positions": [[0.0000, 0.0000, 0.0000], [0.2342, 0.2342, 0.2342], [0.4792, 0.4792, 0.4792], [0.7438, 0.7438, 0.7438]]}



Stability check: which of them is most stable? *w*.



*w*
{"formula": "YZr2Pt", "functional": "PBE-GGA", "state": "optimized geometry", "dos_ef_per_ev_cell": 9.9, "space_group": "I-42d (122)", "lattice": [[-4.0783, 4.0783, 2.9743], [4.0783, -4.0783, 2.9743], [4.0783, 4.0783, -2.9743]], "species": ["Y", "Y", "Zr", "Zr", "Zr", "Zr", "Pt", "Pt"], "fractional_positions": [[0.0000, 0.0000, 0.0000], [0.7500, 0.2500, 0.5000], [0.1853, 0.6250, 0.0603], [0.3750, 0.4353, 0.5603], [0.5647, 0.1250, 0.9397], [0.8750, 0.8147, 0.4397], [0.2500, 0.7500, 0.5000], [0.5000, 0.5000, 0.0000]]}



*x*
{"formula": "YZr2Pt", "functional": "PBE-GGA", "state": "optimized geometry", "dos_ef_per_ev_cell": 4.7, "space_group": "I4/mmm (139)", "lattice": [[-2.0669, 2.0669, 5.1680], [2.0669, -2.0669, 5.1680], [2.0669, 2.0669, -5.1680]], "species": ["Y", "Zr", "Zr", "Pt"], "fractional_positions": [[0.0000, 0.0000, 0.0000], [0.2500, 0.7500, 0.5000], [0.7500, 0.2500, 0.5000], [0.5000, 0.5000, 0.0000]]}



*y*
{"formula": "YZr2Pt", "functional": "PBE-GGA", "state": "optimized geometry", "dos_ef_per_ev_cell": 6.2, "space_group": "P4/mmm (123)", "lattice": [[4.2142, 0.0000, 0.0000], [0.0000, 4.2142, 0.0000], [0.0000, 0.0000, 4.9595]], "species": ["Y", "Zr", "Zr", "Pt"], "fractional_positions": [[0.0000, 0.0000, 0.0000], [0.0000, 0.5000, 0.5000], [0.5000, 0.0000, 0.5000], [0.5000, 0.5000, 0.0000]]}



Stability check: which of them is most stable? *x*.



*w*
{"formula": "YZr2Pt", "functional": "PBE-GGA", "state": "optimized geometry", "dos_ef_per_ev_cell": 4.4, "space_group": "Amm2 (38)", "lattice": [[3.5255, 0.0000, 0.0000], [0.0000, 2.3506, 5.8298], [0.0000, -2.3506, 5.8298]], "species": ["Y", "Zr", "Zr", "Pt"], "fractional_positions": [[0.0000, 0.0000, 0.0000], [0.0000, 0.7178, 0.7178], [0.5000, 0.3121, 0.3121], [0.5000, 0.5458, 0.5458]]}



*x*
{"formula": "YZr2Pt", "functional": "PBE-GGA", "state": "optimized geometry", "dos_ef_per_ev_cell": 3.3, "space_group": "P2/m (10)", "lattice": [[3.4575, 0.0000, 0.0000], [0.0000, 4.6301, 0.0000], [-1.6483, 0.0000, 5.6440]], "species": ["Y", "Zr", "Zr", "Pt"], "fractional_positions": [[0.0000, 0.0000, 0.0000], [0.4178, 0.5000, 0.7227], [0.5822, 0.5000, 0.2773], [0.0000, 0.0000, 0.5000]]}



Stability check: which of them is most stable? *w*.



*w*
{"formula": "YZr2Pt", "functional": "PBE-GGA", "state": "optimized geometry", "dos_ef_per_ev_cell": 5.5, "space_group": "R-3m (166)", "lattice": [[1.6925, 0.9772, 9.5660], [-1.6925, 0.9772, 9.5660], [0.0000, -1.9543, 9.5660]], "species": ["Y", "Zr", "Zr", "Pt"], "fractional_positions": [[0.0000, 0.0000, 0.0000], [0.2361, 0.2361, 0.2361], [0.7639, 0.7639, 0.7639], [0.5000, 0.5000, 0.5000]]}



*x*
{"formula": "YZr2Pt", "functional": "PBE-GGA", "state": "optimized geometry", "dos_ef_per_ev_cell": 5.7, "space_group": "C2/m (12)", "lattice": [[2.8862, -5.0987, 0.0000], [2.8862, 5.0987, 0.0000], [-1.2359, 0.0000, 2.9535]], "species": ["Y", "Zr", "Zr", "Pt"], "fractional_positions": [[0.0000, 0.0000, 0.0000], [0.0000, 0.5000, 0.5000], [0.5000, 0.0000, 0.5000], [0.5000, 0.5000, 0.0000]]}



*y*
{"formula": "YZr2Pt", "functional": "PBE-GGA", "state": "optimized geometry", "dos_ef_per_ev_cell": 4.3, "space_group": "P4mm (99)", "lattice": [[3.4022, 0.0000, 0.0000], [0.0000, 3.4022, 0.0000], [0.0000, 0.0000, 7.8567]], "species": ["Y", "Zr", "Zr", "Pt"], "fractional_positions": [[0.0000, 0.0000, 0.0000], [0.0000, 0.0000, 0.5622], [0.5000, 0.5000, 0.3058], [0.5000, 0.5000, 0.7567]]}



Stability check: which of them is most stable? *y*.



*w*
{"formula": "Y2ZrPt", "functional": "PBE-GGA", "state": "optimized geometry", "dos_ef_per_ev_cell": 7.4, "space_group": "I-42d (122)", "lattice": [[-4.1523, 4.1523, 3.0458], [4.1523, -4.1523, 3.0458], [4.1523, 4.1523, -3.0458]], "species": ["Y", "Y", "Y", "Y", "Zr", "Zr", "Pt", "Pt"], "fractional_positions": [[0.0701, 0.1250, 0.4451], [0.3750, 0.9299, 0.0549], [0.6799, 0.6250, 0.5549], [0.8750, 0.3201, 0.9451], [0.2500, 0.7500, 0.5000], [0.5000, 0.5000, 0.0000], [0.0000, 0.0000, 0.0000], [0.7500, 0.2500, 0.5000]]}



*x*
{"formula": "Y2ZrPt", "functional": "PBE-GGA", "state": "optimized geometry", "dos_ef_per_ev_cell": 4.9, "space_group": "P4/mmm (123)", "lattice": [[3.5225, 0.0000, 0.0000], [0.0000, 3.5225, 0.0000], [0.0000, 0.0000, 7.8520]], "species": ["Y", "Y", "Zr", "Pt"], "fractional_positions": [[0.0000, 0.0000, 0.2158], [0.0000, 0.0000, 0.7842], [0.5000, 0.5000, 0.5000], [0.5000, 0.5000, 0.0000]]}



*y*
{"formula": "Y2ZrPt", "functional": "PBE-GGA", "state": "optimized geometry", "dos_ef_per_ev_cell": 5.7, "space_group": "I4/mmm (139)", "lattice": [[-2.3016, 2.3016, 4.4200], [2.3016, -2.3016, 4.4200], [2.3016, 2.3016, -4.4200]], "species": ["Y", "Y", "Zr", "Pt"], "fractional_positions": [[0.2500, 0.7500, 0.5000], [0.7500, 0.2500, 0.5000], [0.0000, 0.0000, 0.0000], [0.5000, 0.5000, 0.0000]]}



Stability check: which of them is most stable? *x*.



*w*
{"formula": "Y3ZrPt", "functional": "PBE-GGA", "state": "optimized geometry", "dos_ef_per_ev_cell": 3.6, "space_group": "Pm-3m (221)", "lattice": [[5.3294, 0.0000, 0.0000], [0.0000, 5.3294, 0.0000], [0.0000, 0.0000, 5.3294]], "species": ["Y", "Y", "Y", "Zr", "Pt"], "fractional_positions": [[0.0000, 0.0000, 0.5000], [0.0000, 0.5000, 0.0000], [0.5000, 0.0000, 0.0000], [0.0000, 0.0000, 0.0000], [0.5000, 0.5000, 0.5000]]}



*x*
{"formula": "Y3ZrPt", "functional": "PBE-GGA", "state": "optimized geometry", "dos_ef_per_ev_cell": 5.3, "space_group": "Pm-3m (221)", "lattice": [[5.4123, 0.0000, 0.0000], [0.0000, 5.4123, 0.0000], [0.0000, 0.0000, 5.4123]], "species": ["Y", "Y", "Y", "Zr", "Pt"], "fractional_positions": [[0.0000, 0.0000, 0.5000], [0.0000, 0.5000, 0.0000], [0.5000, 0.0000, 0.0000], [0.5000, 0.5000, 0.5000], [0.0000, 0.0000, 0.0000]]}



Stability check: which of them is most stable? *x*.



*w*
{"formula": "YZr3Pt", "functional": "PBE-GGA", "state": "optimized geometry", "dos_ef_per_ev_cell": 8.8, "space_group": "Pm-3m (221)", "lattice": [[5.0441, 0.0000, 0.0000], [0.0000, 5.0441, 0.0000], [0.0000, 0.0000, 5.0441]], "species": ["Y", "Zr", "Zr", "Zr", "Pt"], "fractional_positions": [[0.0000, 0.0000, 0.0000], [0.0000, 0.0000, 0.5000], [0.0000, 0.5000, 0.0000], [0.5000, 0.0000, 0.0000], [0.5000, 0.5000, 0.5000]]}



*x*
{"formula": "YZr3Pt", "functional": "PBE-GGA", "state": "optimized geometry", "dos_ef_per_ev_cell": 8.5, "space_group": "Pm-3m (221)", "lattice": [[5.1700, 0.0000, 0.0000], [0.0000, 5.1700, 0.0000], [0.0000, 0.0000, 5.1700]], "species": ["Y", "Zr", "Zr", "Zr", "Pt"], "fractional_positions": [[0.0000, 0.0000, 0.0000], [0.0000, 0.5000, 0.5000], [0.5000, 0.0000, 0.5000], [0.5000, 0.5000, 0.0000], [0.5000, 0.5000, 0.5000]]}



Stability check: which of them is most stable? *x*.



*w*
{"formula": "YZr2Pt2", "functional": "PBE-GGA", "state": "optimized geometry", "dos_ef_per_ev_cell": 9.0, "space_group": "P4/mbm (127)", "lattice": [[8.0125, 0.0000, 0.0000], [0.0000, 8.0125, 0.0000], [0.0000, 0.0000, 3.2299]], "species": ["Y", "Y", "Zr", "Zr", "Zr", "Zr", "Pt", "Pt", "Pt", "Pt"], "fractional_positions": [[0.0000, 0.0000, 0.0000], [0.5000, 0.5000, 0.0000], [0.1500, 0.3500, 0.0000], [0.3500, 0.8500, 0.0000], [0.6500, 0.1500, 0.0000], [0.8500, 0.6500, 0.0000], [0.1474, 0.6474, 0.5000], [0.3526, 0.1474, 0.5000], [0.6474, 0.8526, 0.5000], [0.8526, 0.3526, 0.5000]]}



*x*
{"formula": "YZr2Pt2", "functional": "PBE-GGA", "state": "optimized geometry", "dos_ef_per_ev_cell": 5.3, "space_group": "I4/mmm (139)", "lattice": [[-2.4967, 2.4967, 4.8492], [2.4967, -2.4967, 4.8492], [2.4967, 2.4967, -4.8492]], "species": ["Y", "Zr", "Zr", "Pt", "Pt"], "fractional_positions": [[0.0000, 0.0000, 0.0000], [0.3470, 0.3470, 0.0000], [0.6530, 0.6530, 0.0000], [0.2500, 0.7500, 0.5000], [0.7500, 0.2500, 0.5000]]}



*y*
{"formula": "YZr2Pt2", "functional": "PBE-GGA", "state": "optimized geometry", "dos_ef_per_ev_cell": 7.6, "space_group": "P4/mbm (127)", "lattice": [[7.8037, 0.0000, 0.0000], [0.0000, 7.8037, 0.0000], [0.0000, 0.0000, 3.4753]], "species": ["Y", "Y", "Zr", "Zr", "Zr", "Zr", "Pt", "Pt", "Pt", "Pt"], "fractional_positions": [[0.0000, 0.0000, 0.0000], [0.5000, 0.5000, 0.0000], [0.1648, 0.3352, 0.5000], [0.3352, 0.8352, 0.5000], [0.6649, 0.1648, 0.5000], [0.8352, 0.6649, 0.5000], [0.1294, 0.6294, 0.0000], [0.3706, 0.1294, 0.0000], [0.6294, 0.8706, 0.0000], [0.8706, 0.3706, 0.0000]]}



*z*
{"formula": "YZr2Pt2", "functional": "PBE-GGA", "state": "optimized geometry", "dos_ef_per_ev_cell": 3.7, "space_group": "I4/mmm (139)", "lattice": [[-2.3103, 2.3103, 5.4030], [2.3103, -2.3103, 5.4030], [2.3103, 2.3103, -5.4030]], "species": ["Y", "Zr", "Zr", "Pt", "Pt"], "fractional_positions": [[0.0000, 0.0000, 0.0000], [0.2500, 0.7500, 0.5000], [0.7500, 0.2500, 0.5000], [0.3790, 0.3790, 0.0000], [0.6210, 0.6210, 0.0000]]}



Stability check: which of them is most stable? *y*.



*w*
{"formula": "ZnPt4", "functional": "PBE-GGA", "state": "optimized geometry", "dos_ef_per_ev_cell": 6.1, "space_group": "Im-3m (229)", "lattice": [[-2.8292, 2.8292, 2.8292], [2.8292, -2.8292, 2.8292], [2.8292, 2.8292, -2.8292]], "species": ["Zn", "Pt", "Pt", "Pt", "Pt"], "fractional_positions": [[0.0000, 0.0000, 0.0000], [0.0000, 0.0000, 0.5000], [0.0000, 0.5000, 0.0000], [0.5000, 0.0000, 0.0000], [0.5000, 0.5000, 0.5000]]}



*x*
{"formula": "ZnPt4", "functional": "PBE-GGA", "state": "optimized geometry", "dos_ef_per_ev_cell": 6.7, "space_group": "I4/m (87)", "lattice": [[-3.1066, 3.1066, 1.9900], [3.1066, -3.1066, 1.9900], [3.1066, 3.1066, -1.9900]], "species": ["Zn", "Pt", "Pt", "Pt", "Pt"], "fractional_positions": [[0.0000, 0.0000, 0.0000], [0.1998, 0.6051, 0.8049], [0.3949, 0.1998, 0.5948], [0.6051, 0.8002, 0.4052], [0.8002, 0.3949, 0.1951]]}



Stability check: which of them is most stable? *x*.



*w*
{"formula": "Zn5Pt3", "functional": "PBE-GGA", "state": "optimized geometry", "dos_ef_per_ev_cell": 3.3, "space_group": "C2/c (15)", "lattice": [[5.2903, -4.6990, 0.0000], [5.2903, 4.6990, 0.0000], [-2.3736, 0.0000, 4.7829]], "species": ["Zn", "Zn", "Zn", "Zn", "Zn", "Zn", "Zn", "Zn", "Zn", "Zn", "Pt", "Pt", "Pt", "Pt", "Pt", "Pt"], "fractional_positions": [[0.0311, 0.9689, 0.7500], [0.1710, 0.5951, 0.4834], [0.2162, 0.3039, 0.7878], [0.3039, 0.2162, 0.2878], [0.4049, 0.8290, 0.0166], [0.5951, 0.1710, 0.9834], [0.6961, 0.7838, 0.7122], [0.7838, 0.6961, 0.2122], [0.8290, 0.4049, 0.5166], [0.9689, 0.0311, 0.2500], [0.0651, 0.6720, 0.9586], [0.3280, 0.9349, 0.5414], [0.4678, 0.5322, 0.2500], [0.5322, 0.4678, 0.7500], [0.6720, 0.0651, 0.4586], [0.9349, 0.3280, 0.0414]]}



*x*
{"formula": "Zn5Pt3", "functional": "PBE-GGA", "state": "optimized geometry", "dos_ef_per_ev_cell": 6.9, "space_group": "P6_3/mcm (193)", "lattice": [[7.6551, 0.0000, 0.0000], [-3.8276, 6.6296, 0.0000], [0.0000, 0.0000, 4.9288]], "species": ["Zn", "Zn", "Zn", "Zn", "Zn", "Zn", "Zn", "Zn", "Zn", "Zn", "Pt", "Pt", "Pt", "Pt", "Pt", "Pt"], "fractional_positions": [[0.0000, 0.2515, 0.2500], [0.0000, 0.7485, 0.7500], [0.2515, 0.0000, 0.2500], [0.2515, 0.2515, 0.7500], [0.3333, 0.6667, 0.0000], [0.3333, 0.6667, 0.5000], [0.6667, 0.3333, 0.0000], [0.6667, 0.3333, 0.5000], [0.7485, 0.0000, 0.7500], [0.7485, 0.7485, 0.2500], [0.0000, 0.3832, 0.7500], [0.0000, 0.6168, 0.2500], [0.3832, 0.0000, 0.7500], [0.3832, 0.3832, 0.2500], [0.6168, 0.0000, 0.2500], [0.6168, 0.6168, 0.7500]]}



Stability check: which of them is most stable? *w*.